Record 1
# MoPCl2O

MoPCl2O after structural relaxation (GGA+U, the Alexandria database).

The distance to the lowest polymorph of the same formula is 0.8913 eV per atom.

The structure belongs to space group P4/mmm (No. 123); the cell edges are 4.805, 4.805 and 4.981 Å and the angles 90.00°, 90.00° and 90.00°. The inequivalent atoms are Mo at (0.000, 0.000, 0.000), P at (0.000, 0.000, 0.500), Cl at (0.000, 0.500, 0.000) and O at (0.500, 0.500, 0.500).

Record 2
# RbMoPClO5

RbMoPClO5 after structural relaxation (GGA+U, the Alexandria database).

For the raw total energy, the calculation gives -6.42 eV per atom.

The structure belongs to space group P4/nmm (No. 129, origin choice 2); the cell edges are 6.573, 6.573 and 7.644 Å and the angles 90.00°, 90.00° and 90.00°. The inequivalent atoms are Rb at (0.250, 0.750, 0.000), Mo at (0.250, 0.250, 0.410), P at (0.250, 0.750, 0.500), Cl at (0.250, 0.250, 0.069), O at (0.063, 0.750, 0.624) and O at (0.250, 0.250, 0.633).

Number 1: spin magnetization 0.021 μB per atom. Number 2: spin magnetization 0.111 μB per atom.